The following is a PBE calculation of a geometry-optimized Tl2ZnP structure, from Alexandria.

Results
DFT formation energy ... 0.1049 eV/atom
DOS(E_F) ... 1.81 states/eV per cell
Total moment ... 0.00 μB/f.u.

a = 3.9507 Å, b = 4.3858 Å, c = 12.7098 Å
α = 90.00°, β = 90.00°, γ = 90.00°
Closest atoms and distances in Å follow each position.
Space group Imm2 (No. 44)
Symmetry-distinct sites (fractional):
Tl: 0.0000 0.0000 0.0000 [2 per cell]  4 Zn 3.15, 2 P 3.18, 2 Tl 3.50
Tl: 0.0000 0.5000 0.2147 [2 per cell]  4 P 3.24, 2 Zn 3.34, 2 Tl 3.50
Zn: 0.0000 0.0000 0.4127 [2 per cell]  2 P 2.31
P: 0.0000 0.5000 0.8189 [2 per cell]  2 Zn 2.31

The following is a PBE calculation of a geometry-optimized Co2TeRuBr structure, from Alexandria.

Results
DOS(E_F) ... 6.37 states/eV per cell
Formation energy (no corrections) ... 5.79 eV per formula unit
Total moment ... 3.56 μB/f.u.

a = 4.4165 Å, b = 4.4165 Å, c = 4.7750 Å
α = 90.00°, β = 90.00°, γ = 90.00°
Closest atoms and distances in Å follow each position.
Space group P4/mmm (No. 123)
Symmetry-distinct sites (fractional):
Co: 0.0000 0.5000 0.0000 [2 per cell]  2 Br 2.21
Te: 0.0000 0.0000 0.5000 [1 per cell]  4 Ru 3.12, 8 Co 3.25
Ru: 0.5000 0.5000 0.5000 [1 per cell]  2 Br 2.39
Br: 0.5000 0.5000 0.0000 [1 per cell]  4 Co 2.21, 2 Ru 2.39

| no. | calculated volume (A^3/atom) |
| --- | --- |
| 1 | 27.5 |
| 2 | 18.6 |